Record 1
VASP calculation (PBE) on an optimized crystal structure of Ba4PBr3.

Unit cell a=8.231 b=8.231 c=4.699 alpha=90.00 beta=90.00 gamma=108.99
Fractional coordinates of all 8 atoms:
Ba1 0.223 0.223 0.500
Ba2 0.234 0.766 0.000
Ba3 0.766 0.234 0.000
Ba4 0.777 0.777 0.500
P1 0.000 0.000 0.000
Br1 0.000 0.500 0.500
Br2 0.500 0.000 0.500
Br3 0.500 0.500 0.000

Calculated values
Crystal system   orthorhombic
Uncorrected energy   -3.847 eV per atom
Space-group type   Cmmm (65)
Calculated density   4.52 Mg/m³

=====

Record 2
VASP calculation (PBE) on an optimized crystal structure of SmMg2Zn6.

Unit cell a=7.828 b=7.828 c=3.210 alpha=90.00 beta=90.00 gamma=120.00
Fractional coordinates of all 9 atoms:
Sm1 0.000 0.000 0.000
Mg1 0.333 0.667 0.000
Mg2 0.667 0.333 0.000
Zn1 0.000 0.339 0.500
Zn2 0.000 0.661 0.500
Zn3 0.339 0.000 0.500
Zn4 0.339 0.339 0.500
Zn5 0.661 0.000 0.500
Zn6 0.661 0.661 0.500

Calculated values
Crystal system   hexagonal
Formation energy from the elements   -1.26 eV per formula unit
Uncorrected energy   -1.868 eV per atom
Relative energy among the computed polymorphs   8.3 meV/atom
Space-group type   P6/mmm (191)
Calculated density   5.77 Mg/m³